Here is a geometry-optimized ZrZnCuPt structure from Alexandria. Energies are from GGA-PBE.

Geometry as POSCAR:
```
ZrZnCuPt
1.0
-0.6789 3.1912 -3.1143
-3.3828 2.9433 0.4872
0.8872 4.3161 0.9631
Zn Pt Cu Zr
1 1 1 1
direct
0.0000 0.0000 0.0000
0.7500 0.7500 0.7500
0.2500 0.2500 0.2500
0.5000 0.5000 0.5000
```

Computed properties:
For the spin magnetization, the calculation gives 0.0 μB/cell. Its total energy is -5.534 eV/atom. Its energy of formation is -52.5 kJ/mol of atoms. The symmetry is F-43m, No. 216. The calculation puts the density of states at the Fermi level at 3.2 states/eV per cell.